No. 1
DFT (PBE) results for an optimized crystal structure of Zn2SbPCl.

Lattice parameters (Å, degrees): 4.790 5.492 4.790 90.00 90.00 90.00
Sites, in units of the cell vectors:
Sb 0.000 0.500 0.000
Zn 0.000 0.000 0.500
Zn 0.500 0.000 0.000
P 0.000 0.000 0.000
Cl 0.500 0.500 0.500

Crystal system: tetragonal
Energy (eV/atom): -2.5369
Formation energy (no corrections) (eV/atom): 0.25
Space group: No. 123

---

No. 2
DFT (PBE) results for an optimized crystal structure of NaMgI2O.

Lattice parameters (Å, degrees): 6.104 6.104 3.751 90.00 90.00 90.00
Sites, in units of the cell vectors:
I 0.000 0.500 0.000
I 0.500 0.000 0.000
Na 0.500 0.500 0.500
Mg 0.000 0.000 0.000
O 0.000 0.000 0.500

Crystal system: tetragonal
Energy (eV/atom): -3.1965
Formation energy (no corrections) (eV/atom): -1.00
Space group: No. 123

---

No. 3
DFT (PBE) results for an optimized crystal structure of Pr4AgOsI2.

Lattice parameters (Å, degrees): 4.304 7.526 8.562 106.75 90.00 90.00
Sites, in units of the cell vectors:
Pr 0.500 0.261 0.195
Pr 0.500 0.739 0.805
Pr 0.000 0.288 0.811
Pr 0.000 0.712 0.189
Ag 0.000 0.000 0.000
Os 0.500 0.500 0.000
I 0.500 0.000 0.500
I 0.000 0.500 0.500

Crystal system: monoclinic
Energy (eV/atom): -5.1174
Formation energy (no corrections) (eV/atom): -0.58
Space group: No. 10

---

No. 4
DFT (PBE) results for an optimized crystal structure of Ac5Tl4I.

Lattice parameters (Å, degrees): 3.929 3.929 22.923 90.00 90.00 90.00
Sites, in units of the cell vectors:
Ac 0.500 0.500 0.108
Ac 0.500 0.500 0.301
Ac 0.500 0.500 0.500
Ac 0.500 0.500 0.699
Ac 0.500 0.500 0.892
Tl 0.000 0.000 0.200
Tl 0.000 0.000 0.400
Tl 0.000 0.000 0.600
Tl 0.000 0.000 0.800
I 0.000 0.000 0.000

Crystal system: tetragonal
Energy (eV/atom): -3.6111
Formation energy (no corrections) (eV/atom): -0.46
Space group: No. 123

---

No. 5
DFT (PBE) results for an optimized crystal structure of Pm2MgAs4Pd3.

Lattice parameters (Å, degrees): 4.223 4.223 11.192 90.00 90.00 90.00
Sites, in units of the cell vectors:
Pm 0.500 0.000 0.246
Pm 0.000 0.500 0.754
Mg 0.500 0.500 0.500
As 0.500 0.500 0.000
As 0.000 0.000 0.000
As 0.500 0.000 0.646
As 0.000 0.500 0.354
Pd 0.000 0.000 0.500
Pd 0.500 0.000 0.866
Pd 0.000 0.500 0.134

Crystal system: tetragonal
Energy (eV/atom): -5.3686
Formation enthalpy at 0 K (eV/atom): -0.84
Space group: No. 115

---

No. 6
DFT (PBE) results for an optimized crystal structure of HfGeF2.

Lattice parameters (Å, degrees): 4.012 4.012 8.063 75.59 75.59 90.00
Sites, in units of the cell vectors:
Ge 0.500 0.500 0.000
Ge 0.250 0.750 0.500
Hf 0.000 0.000 0.000
Hf 0.750 0.250 0.500
F 0.724 0.125 0.250
F 0.026 0.625 0.250
F 0.375 0.276 0.750
F 0.875 0.974 0.750

Crystal system: tetragonal
Energy (eV/atom): -6.3949
Formation energy (no corrections) (eV/atom): -1.82
Space group: No. 122

---

No. 7
DFT (PBE) results for an optimized crystal structure of K8PbS6.

Lattice parameters (Å, degrees): 8.631 9.678 12.077 90.00 90.00 90.00
Each line ends with the local moment (μB).
Sites, in units of the cell vectors:
K 0.357 0.000 0.010  0.00
K 0.643 0.500 0.510  0.00
K 0.818 0.821 0.152  0.00
K 0.182 0.679 0.652  0.00
K 0.182 0.321 0.652  0.00
K 0.818 0.179 0.152  0.00
K 0.563 0.805 0.774  0.00
K 0.437 0.695 0.274  0.00
K 0.437 0.305 0.274  0.00
K 0.563 0.195 0.774  0.00
K 0.986 0.827 0.852  0.00
K 0.014 0.673 0.352  0.00
K 0.014 0.327 0.352  0.00
K 0.986 0.173 0.852  0.00
K 0.310 0.000 0.494  0.00
K 0.690 0.500 0.994  0.00
Pb 0.810 0.000 0.465  0.00
Pb 0.190 0.500 0.965  0.00
S 0.714 0.000 0.953  0.04
S 0.286 0.500 0.453  0.04
S 0.270 0.000 0.745  0.06
S 0.730 0.500 0.245  0.06
S 0.035 0.000 0.328  0.00
S 0.965 0.500 0.828  0.00
S 0.585 0.000 0.327  0.00
S 0.415 0.500 0.827  0.00
S 0.175 0.718 0.080  0.00
S 0.825 0.782 0.580  0.00
S 0.825 0.218 0.580  0.00
S 0.175 0.282 0.080  0.00

Crystal system: orthorhombic
Energy (eV/atom): -3.4135
Formation energy (no corrections) (eV/atom): -0.93
Space group: No. 31

---

No. 8
DFT (PBE) results for an optimized crystal structure of Nd4Co3Ni.

Lattice parameters (Å, degrees): 4.006 3.965 11.112 90.00 90.00 90.00
Each line ends with the local moment (μB).
Sites, in units of the cell vectors:
Co 0.000 0.500 0.554  0.71
Co 0.000 0.000 0.445  0.74
Co 0.500 0.000 0.937  -0.14
Nd 0.500 0.500 0.360  -0.11
Nd 0.000 0.500 0.860  0.00
Nd 0.000 0.000 0.139  -0.02
Nd 0.500 0.000 0.642  -0.10
Ni 0.500 0.500 0.063  -0.03

Crystal system: orthorhombic
Energy (eV/atom): -5.8913
Formation enthalpy at 0 K (eV/atom): -0.12
Space group: No. 25

---

No. 9
DFT (PBE) results for an optimized crystal structure of MnW3I.

Lattice parameters (Å, degrees): 4.584 4.584 4.584 90.00 90.00 90.00
Sites, in units of the cell vectors:
I 0.500 0.500 0.500
Mn 0.000 0.000 0.000
W 0.000 0.500 0.000
W 0.000 0.000 0.500
W 0.500 0.000 0.000

Crystal system: cubic
Energy (eV/atom): -8.1608
Formation energy (no corrections) (eV/atom): 1.76
Space group: No. 221

---

No. 10
DFT (PBE) results for an optimized crystal structure of BaAlPt2.

Lattice parameters (Å, degrees): 6.609 6.609 6.609 38.04 38.04 38.04
Sites, in units of the cell vectors:
Ba 0.758 0.758 0.758
Pt 0.953 0.953 0.953
Pt 0.216 0.216 0.216
Al 0.573 0.573 0.573

Crystal system: trigonal
Energy (eV/atom): -5.2085
Formation enthalpy at 0 K (eV/atom): -0.77
Space group: No. 160

---

No. 11
DFT (PBE) results for an optimized crystal structure of Ac2MgAl.

Lattice parameters (Å, degrees): 3.993 3.993 8.250 90.00 90.00 90.00
Sites, in units of the cell vectors:
Mg 0.500 0.500 0.500
Ac 0.000 0.000 0.767
Ac 0.000 0.000 0.233
Al 0.500 0.500 0.000

Crystal system: tetragonal
Energy (eV/atom): -3.5399
Formation enthalpy at 0 K (eV/atom): -0.15
Space group: No. 123

---

No. 12
DFT (PBE) results for an optimized crystal structure of Dy5Ho3Tm2.

Lattice parameters (Å, degrees): 9.443 9.403 11.007 125.93 126.01 68.15
Sites, in units of the cell vectors:
Dy 0.274 0.524 0.048
Dy 0.726 0.476 0.952
Dy 0.024 0.774 0.549
Dy 0.529 0.279 0.559
Dy 0.976 0.226 0.451
Dy 0.471 0.721 0.441
Dy 0.851 0.604 0.739
Dy 0.149 0.396 0.261
Dy 0.388 0.135 0.739
Dy 0.612 0.865 0.261
Ho 0.230 0.980 0.961
Ho 0.770 0.020 0.039
Ho 0.734 0.469 0.249
Ho 0.266 0.531 0.751
Ho 0.015 0.780 0.249
Ho 0.985 0.220 0.751
Tm 0.778 0.011 0.742
Tm 0.222 0.989 0.258
Tm 0.464 0.731 0.742
Tm 0.536 0.269 0.258

Crystal system: monoclinic
Energy (eV/atom): -4.3645
Formation enthalpy at 0 K (eV/atom): 0.20
Space group: No. 15

---

Which of these has the highest energy?
Zn2SbPCl

---

What is the formula in the eighth record?
Nd4Co3Ni